1.
# HoCo4Tc, optimized geometry, DFT GGA-PBE
# electronic total energy = -7.210 eV per atom
# density = 9.92 g/cm3
# size of the total moment = 8.05 μB/f.u.
# formation energy = 17 meV/atom
data_HoCo4Tc
_chemical_formula_sum 'Ho4 Co16 Tc4'
_space_group_name_H-M_alt 'F -4 3 m'
_space_group_IT_number 216
_space_group_name_Hall 'F -4 2 3'
_cell_length_a 6.938
_cell_length_b 6.938
_cell_length_c 6.938
_cell_angle_alpha 90.00
_cell_angle_beta 90.00
_cell_angle_gamma 90.00
loop_
_atom_site_label
_atom_site_type_symbol
_atom_site_fract_x
_atom_site_fract_y
_atom_site_fract_z
Ho1 Ho 0.000 0.000 0.000
Co1 Co 0.124 0.124 0.624
Tc1 Tc 0.250 0.250 0.250

=====

2.
# Ho8Co2Tc, optimized geometry, DFT GGA-PBE
# electronic total energy = -5.607 eV per atom
# density = 9.30 g/cm3
# size of the total moment = 0.00 μB/f.u.
# formation energy = -43 meV/atom
data_Ho8Co2Tc
_chemical_formula_sum 'Ho16 Co4 Tc2'
_space_group_name_H-M_alt 'C 1 m 1'
_space_group_IT_number 8
_space_group_name_Hall 'C -2y'
_cell_length_a 8.143
_cell_length_b 12.366
_cell_length_c 5.734
_cell_angle_alpha 90.00
_cell_angle_beta 108.24
_cell_angle_gamma 90.00
loop_
_atom_site_label
_atom_site_type_symbol
_atom_site_fract_x
_atom_site_fract_y
_atom_site_fract_z
Ho1 Ho 0.000 0.000 0.000
Ho2 Ho 0.066 0.371 0.789
Ho3 Ho 0.161 0.129 0.601
Ho4 Ho 0.224 0.500 0.376
Ho5 Ho 0.367 0.217 0.191
Co1 Co 0.360 0.309 0.686
Tc1 Tc 0.362 0.000 0.095

=====

3.
# HoTiCoTc, optimized geometry, DFT GGA-PBE
# electronic total energy = -7.640 eV per atom
# density = 9.40 g/cm3
# size of the total moment = 0.00 μB/f.u.
# formation energy = -154 meV/atom
data_HoTiCoTc
_chemical_formula_sum 'Ho4 Ti4 Co4 Tc4'
_space_group_name_H-M_alt 'F -4 3 m'
_space_group_IT_number 216
_space_group_name_Hall 'F -4 2 3'
_cell_length_a 6.392
_cell_length_b 6.392
_cell_length_c 6.392
_cell_angle_alpha 90.00
_cell_angle_beta 90.00
_cell_angle_gamma 90.00
loop_
_atom_site_label
_atom_site_type_symbol
_atom_site_fract_x
_atom_site_fract_y
_atom_site_fract_z
Ho1 Ho 0.000 0.000 0.000
Ti1 Ti 0.000 0.000 0.500
Co1 Co 0.250 0.250 0.750
Tc1 Tc 0.250 0.250 0.250

=====

4.
# HoZrCoTc, optimized geometry, DFT GGA-PBE
# electronic total energy = -7.822 eV per atom
# density = 9.56 g/cm3
# size of the total moment = 0.00 μB/f.u.
# formation energy = -172 meV/atom
data_HoZrCoTc
_chemical_formula_sum 'Ho4 Zr4 Co4 Tc4'
_space_group_name_H-M_alt 'F -4 3 m'
_space_group_IT_number 216
_space_group_name_Hall 'F -4 2 3'
_cell_length_a 6.597
_cell_length_b 6.597
_cell_length_c 6.597
_cell_angle_alpha 90.00
_cell_angle_beta 90.00
_cell_angle_gamma 90.00
loop_
_atom_site_label
_atom_site_type_symbol
_atom_site_fract_x
_atom_site_fract_y
_atom_site_fract_z
Ho1 Ho 0.000 0.000 0.000
Zr1 Zr 0.000 0.000 0.500
Co1 Co 0.250 0.250 0.750
Tc1 Tc 0.250 0.250 0.250

=====

5.
# Ho5Co2Te, optimized geometry, DFT GGA-PBE
# electronic total energy = -5.503 eV per atom
# density = 9.27 g/cm3
# size of the total moment = 0.00 μB/f.u.
# energy relative to the elements, uncorrected = -0.47 eV per atom
data_Ho5Co2Te
_chemical_formula_sum 'Ho20 Co8 Te4'
_space_group_name_H-M_alt 'I 4/m c m'
_space_group_IT_number 140
_space_group_name_Hall '-I 4 2c'
_cell_length_a 7.531
_cell_length_b 7.531
_cell_length_c 13.519
_cell_angle_alpha 90.00
_cell_angle_beta 90.00
_cell_angle_gamma 90.00
loop_
_atom_site_label
_atom_site_type_symbol
_atom_site_fract_x
_atom_site_fract_y
_atom_site_fract_z
Ho1 Ho 0.000 0.000 0.000
Ho2 Ho 0.156 0.344 0.132
Co1 Co 0.138 0.362 0.500
Te1 Te 0.000 0.000 0.250

=====

6.
# Ho5CoTe4, optimized geometry, DFT GGA-PBE
# electronic total energy = -5.310 eV per atom
# density = 8.23 g/cm3
# size of the total moment = 1.01 μB/f.u.
# energy relative to the elements, uncorrected = -1.05 eV per atom
data_Ho5CoTe4
_chemical_formula_sum 'Ho10 Co2 Te8'
_space_group_name_H-M_alt 'I 4/m'
_space_group_IT_number 87
_space_group_name_Hall '-I 4'
_cell_length_a 9.627
_cell_length_b 9.627
_cell_length_c 6.067
_cell_angle_alpha 90.00
_cell_angle_beta 90.00
_cell_angle_gamma 90.00
loop_
_atom_site_label
_atom_site_type_symbol
_atom_site_fract_x
_atom_site_fract_y
_atom_site_fract_z
Ho1 Ho 0.000 0.000 0.000
Ho2 Ho 0.090 0.749 0.500
Co1 Co 0.000 0.000 0.500
Te1 Te 0.088 0.689 0.000

=====

7.
# Ho7Co2Te2, optimized geometry, DFT GGA-PBE
# electronic total energy = -5.193 eV per atom
# density = 8.26 g/cm3
# size of the total moment = 0.00 μB/f.u.
# polymorph energy (0 for the lowest one) = 0.191 eV/atom
# energy relative to the elements, uncorrected = -0.42 eV per atom
data_Ho7Co2Te2
_chemical_formula_sum 'Ho14 Co4 Te4'
_space_group_name_H-M_alt 'C m m m'
_space_group_IT_number 65
_space_group_name_Hall '-C 2 2'
_cell_length_a 8.352
_cell_length_b 10.476
_cell_length_c 7.023
_cell_angle_alpha 90.00
_cell_angle_beta 90.00
_cell_angle_gamma 90.00
loop_
_atom_site_label
_atom_site_type_symbol
_atom_site_fract_x
_atom_site_fract_y
_atom_site_fract_z
Ho1 Ho 0.000 0.000 0.000
Ho2 Ho 0.000 0.500 0.224
Ho3 Ho 0.250 0.250 0.236
Co1 Co 0.000 0.280 0.000
Te1 Te 0.210 0.000 0.500

=====

8.
# Ho7Co2Te2, optimized geometry, DFT GGA-PBE
# electronic total energy = -5.384 eV per atom
# density = 8.96 g/cm3
# size of the total moment = 0.00 μB/f.u.
# polymorph energy (0 for the lowest one) = 0.000 eV/atom
# energy relative to the elements, uncorrected = -0.61 eV per atom
data_Ho7Co2Te2
_chemical_formula_sum 'Ho14 Co4 Te4'
_space_group_name_H-M_alt 'I m m 2'
_space_group_IT_number 44
_space_group_name_Hall 'I 2 -2'
_cell_length_a 3.825
_cell_length_b 15.636
_cell_length_c 9.465
_cell_angle_alpha 90.00
_cell_angle_beta 90.00
_cell_angle_gamma 90.00
loop_
_atom_site_label
_atom_site_type_symbol
_atom_site_fract_x
_atom_site_fract_y
_atom_site_fract_z
Ho1 Ho 0.000 0.000 0.000
Ho2 Ho 0.000 0.134 0.580
Ho3 Ho 0.000 0.315 0.376
Ho4 Ho 0.000 0.351 0.728
Co1 Co 0.000 0.237 0.068
Te1 Te 0.000 0.000 0.335
Te2 Te 0.000 0.500 0.234

=====

9.
# Ho6CoTe2, optimized geometry, DFT GGA-PBE
# electronic total energy = -5.204 eV per atom
# density = 9.25 g/cm3
# size of the total moment = 0.00 μB/f.u.
# energy relative to the elements, uncorrected = -0.66 eV per atom
data_Ho6CoTe2
_chemical_formula_sum 'Ho6 Co1 Te2'
_space_group_name_H-M_alt 'P -6 2 m'
_space_group_IT_number 189
_space_group_name_Hall 'P -6 -2'
_cell_length_a 8.3233
_cell_length_b 8.3233
_cell_length_c 3.8994
_cell_angle_alpha 90.00
_cell_angle_beta 90.00
_cell_angle_gamma 120.00
loop_
_atom_site_label
_atom_site_type_symbol
_atom_site_fract_x
_atom_site_fract_y
_atom_site_fract_z
Ho1 Ho 0.0000 0.2358 0.0000
Ho2 Ho 0.0000 0.6017 0.5000
Co1 Co 0.0000 0.0000 0.5000
Te1 Te 0.3333 0.6667 0.0000

=====

10.
# Ho6CoTe3, optimized geometry, DFT GGA-PBE
# electronic total energy = -5.125 eV per atom
# density = 8.43 g/cm3
# size of the total moment = 0.00 μB/f.u.
# energy relative to the elements, uncorrected = -0.73 eV per atom
data_Ho6CoTe3
_chemical_formula_sum 'Ho12 Co2 Te6'
_space_group_name_H-M_alt 'P 1 21/m 1'
_space_group_IT_number 11
_space_group_name_Hall '-P 2yb'
_cell_length_a 11.957
_cell_length_b 3.895
_cell_length_c 12.534
_cell_angle_alpha 90.00
_cell_angle_beta 105.05
_cell_angle_gamma 90.00
loop_
_atom_site_label
_atom_site_type_symbol
_atom_site_fract_x
_atom_site_fract_y
_atom_site_fract_z
Ho1 Ho 0.012 0.250 0.351
Ho2 Ho 0.081 0.250 0.891
Ho3 Ho 0.280 0.750 0.319
Ho4 Ho 0.286 0.750 0.764
Ho5 Ho 0.408 0.250 0.561
Ho6 Ho 0.455 0.750 0.152
Co1 Co 0.457 0.250 0.320
Te1 Te 0.124 0.250 0.148
Te2 Te 0.172 0.750 0.516
Te3 Te 0.344 0.250 0.960

=====

11.
# Ho12Co6Te, optimized geometry, DFT GGA-PBE
# electronic total energy = -5.624 eV per atom
# density = 9.08 g/cm3
# size of the total moment = 0.00 μB/f.u.
# energy relative to the elements, uncorrected = -0.32 eV per atom
data_Ho12Co6Te
_chemical_formula_sum 'Ho24 Co12 Te2'
_space_group_name_H-M_alt 'I m -3'
_space_group_IT_number 204
_space_group_name_Hall '-I 2 2 3'
_cell_length_a 9.655
_cell_length_b 9.655
_cell_length_c 9.655
_cell_angle_alpha 90.00
_cell_angle_beta 90.00
_cell_angle_gamma 90.00
loop_
_atom_site_label
_atom_site_type_symbol
_atom_site_fract_x
_atom_site_fract_y
_atom_site_fract_z
Ho1 Ho 0.000 0.307 0.197
Co1 Co 0.000 0.113 0.500
Te1 Te 0.000 0.000 0.000

=====

12.
# Ho2CoTe, optimized geometry, DFT GGA-PBE
# electronic total energy = -5.458 eV per atom
# density = 8.62 g/cm3
# size of the total moment = 0.00 μB/f.u.
# energy relative to the elements, uncorrected = -0.61 eV per atom
data_Ho2CoTe
_chemical_formula_sum 'Ho6 Co3 Te3'
_space_group_name_H-M_alt 'R -3 m'
_space_group_IT_number 166
_space_group_name_Hall '-R 3 2"'
_cell_length_a 3.9941
_cell_length_b 3.9941
_cell_length_c 21.6065
_cell_angle_alpha 90.00
_cell_angle_beta 90.00
_cell_angle_gamma 120.00
loop_
_atom_site_label
_atom_site_type_symbol
_atom_site_fract_x
_atom_site_fract_y
_atom_site_fract_z
Ho1 Ho 0.0000 0.0000 0.2352
Co1 Co 0.0000 0.0000 0.5000
Te1 Te 0.0000 0.0000 0.0000

=====

13.
# Ho8Co2Te, optimized geometry, DFT GGA-PBE
# electronic total energy = -5.137 eV per atom
# density = 8.88 g/cm3
# size of the total moment = 0.00 μB/f.u.
# energy relative to the elements, uncorrected = -0.23 eV per atom
data_Ho8Co2Te
_chemical_formula_sum 'Ho16 Co4 Te2'
_space_group_name_H-M_alt 'C 1 2/m 1'
_space_group_IT_number 12
_space_group_name_Hall '-C 2y'
_cell_length_a 8.265
_cell_length_b 12.600
_cell_length_c 5.747
_cell_angle_alpha 90.00
_cell_angle_beta 102.12
_cell_angle_gamma 90.00
loop_
_atom_site_label
_atom_site_type_symbol
_atom_site_fract_x
_atom_site_fract_y
_atom_site_fract_z
Ho1 Ho 0.000 0.249 0.000
Ho2 Ho 0.111 0.500 0.790
Ho3 Ho 0.205 0.135 0.604
Co1 Co 0.000 0.310 0.500
Te1 Te 0.000 0.000 0.000

=====

14.
# HoThCoTe, optimized geometry, DFT GGA-PBE
# electronic total energy = -6.287 eV per atom
# density = 9.18 g/cm3
# size of the total moment = 0.00 μB/f.u.
# energy relative to the elements, uncorrected = -0.73 eV per atom
data_HoThCoTe
_chemical_formula_sum 'Ho3 Th3 Co3 Te3'
_space_group_name_H-M_alt 'R 3 m'
_space_group_IT_number 160
_space_group_name_Hall 'R 3 -2"'
_cell_length_a 4.0529
_cell_length_b 4.0529
_cell_length_c 22.2720
_cell_angle_alpha 90.00
_cell_angle_beta 90.00
_cell_angle_gamma 120.00
loop_
_atom_site_label
_atom_site_type_symbol
_atom_site_fract_x
_atom_site_fract_y
_atom_site_fract_z
Ho1 Ho 0.0000 0.0000 0.0000
Th1 Th 0.0000 0.0000 0.2020
Co1 Co 0.0000 0.0000 0.5974
Te1 Te 0.0000 0.0000 0.7630

=====

15.
# Ho5Th3Co12, optimized geometry, DFT GGA-PBE
# electronic total energy = -5.988 eV per atom
# density = 8.20 g/cm3
# size of the total moment = 4.98 μB/f.u.
# formation energy = 533 meV/atom
data_Ho5Th3Co12
_chemical_formula_sum 'Ho40 Th24 Co96'
_space_group_name_H-M_alt 'I a -3 d'
_space_group_IT_number 230
_space_group_name_Hall '-I 4bd 2c 3'
_cell_length_a 15.342
_cell_length_b 15.342
_cell_length_c 15.342
_cell_angle_alpha 90.00
_cell_angle_beta 90.00
_cell_angle_gamma 90.00
loop_
_atom_site_label
_atom_site_type_symbol
_atom_site_fract_x
_atom_site_fract_y
_atom_site_fract_z
Ho1 Ho 0.000 0.000 0.000
Ho2 Ho 0.000 0.250 0.375
Th1 Th 0.000 0.250 0.125
Co1 Co 0.012 0.081 0.149

=====

16.
# HoThCo2, optimized geometry, DFT GGA-PBE
# electronic total energy = -6.619 eV per atom
# density = 10.33 g/cm3
# size of the total moment = 0.00 μB/f.u.
# polymorph energy (0 for the lowest one) = 0.206 eV/atom
# formation energy = -67 meV/atom
data_HoThCo2
_chemical_formula_sum 'Ho3 Th3 Co6'
_space_group_name_H-M_alt 'R -3 m'
_space_group_IT_number 166
_space_group_name_Hall '-R 3 2"'
_cell_length_a 3.8433
_cell_length_b 3.8433
_cell_length_c 19.4169
_cell_angle_alpha 90.00
_cell_angle_beta 90.00
_cell_angle_gamma 120.00
loop_
_atom_site_label
_atom_site_type_symbol
_atom_site_fract_x
_atom_site_fract_y
_atom_site_fract_z
Ho1 Ho 0.0000 0.0000 0.0000
Th1 Th 0.0000 0.0000 0.5000
Co1 Co 0.0000 0.0000 0.2484

=====

17.
# Ho3ThCo2, optimized geometry, DFT GGA-PBE
# electronic total energy = -6.082 eV per atom
# density = 9.59 g/cm3
# size of the total moment = 0.00 μB/f.u.
# formation energy = -188 meV/atom
data_Ho3ThCo2
_chemical_formula_sum 'Ho12 Th4 Co8'
_space_group_name_H-M_alt 'C 1 2/m 1'
_space_group_IT_number 12
_space_group_name_Hall '-C 2y'
_cell_length_a 16.401
_cell_length_b 3.757
_cell_length_c 11.529
_cell_angle_alpha 90.00
_cell_angle_beta 124.54
_cell_angle_gamma 90.00
loop_
_atom_site_label
_atom_site_type_symbol
_atom_site_fract_x
_atom_site_fract_y
_atom_site_fract_z
Ho1 Ho 0.082 0.000 0.440
Ho2 Ho 0.083 0.000 0.945
Ho3 Ho 0.155 0.500 0.251
Th1 Th 0.161 0.500 0.755
Co1 Co 0.233 0.500 0.552
Co2 Co 0.236 0.500 0.065

=====

18.
# HoTh2Co, optimized geometry, DFT GGA-PBE
# electronic total energy = -6.630 eV per atom
# density = 10.83 g/cm3
# size of the total moment = 0.00 μB/f.u.
# polymorph energy (0 for the lowest one) = 0.184 eV/atom
# formation energy = 1 meV/atom
data_HoTh2Co
_chemical_formula_sum 'Ho1 Th2 Co1'
_space_group_name_H-M_alt 'P 4/m m m'
_space_group_IT_number 123
_space_group_name_Hall '-P 4 2'
_cell_length_a 3.542
_cell_length_b 3.542
_cell_length_c 8.409
_cell_angle_alpha 90.00
_cell_angle_beta 90.00
_cell_angle_gamma 90.00
loop_
_atom_site_label
_atom_site_type_symbol
_atom_site_fract_x
_atom_site_fract_y
_atom_site_fract_z
Ho1 Ho 0.000 0.000 0.000
Th1 Th 0.500 0.500 0.309
Co1 Co 0.000 0.000 0.500

=====

19.
# HoThCo2, optimized geometry, DFT GGA-PBE
# electronic total energy = -6.810 eV per atom
# density = 10.73 g/cm3
# size of the total moment = 0.00 μB/f.u.
# polymorph energy (0 for the lowest one) = 0.015 eV/atom
# formation energy = -258 meV/atom
data_HoThCo2
_chemical_formula_sum 'Ho2 Th2 Co4'
_space_group_name_H-M_alt 'P m c 21'
_space_group_IT_number 26
_space_group_name_Hall 'P 2c -2'
_cell_length_a 3.953
_cell_length_b 5.640
_cell_length_c 7.149
_cell_angle_alpha 90.00
_cell_angle_beta 90.00
_cell_angle_gamma 90.00
loop_
_atom_site_label
_atom_site_type_symbol
_atom_site_fract_x
_atom_site_fract_y
_atom_site_fract_z
Ho1 Ho 0.000 0.111 0.000
Th1 Th 0.500 0.389 0.642
Co1 Co 0.000 0.387 0.366
Co2 Co 0.500 0.125 0.283

=====

20.
# HoThCo2, optimized geometry, DFT GGA-PBE
# electronic total energy = -6.825 eV per atom
# density = 10.80 g/cm3
# size of the total moment = 0.00 μB/f.u.
# polymorph energy (0 for the lowest one) = 0.000 eV/atom
# formation energy = -273 meV/atom
data_HoThCo2
_chemical_formula_sum 'Ho2 Th2 Co4'
_space_group_name_H-M_alt 'A m m 2'
_space_group_IT_number 38
_space_group_name_Hall 'A 2 -2'
_cell_length_a 3.941
_cell_length_b 3.770
_cell_length_c 10.658
_cell_angle_alpha 90.00
_cell_angle_beta 90.00
_cell_angle_gamma 90.00
loop_
_atom_site_label
_atom_site_type_symbol
_atom_site_fract_x
_atom_site_fract_y
_atom_site_fract_z
Ho1 Ho 0.000 0.000 0.000
Th1 Th 0.500 0.000 0.277
Co1 Co 0.000 0.000 0.720
Co2 Co 0.500 0.000 0.564